1.
DFT (PBE) results for a relaxed PmPr4Ag5 crystal.

abc: 3.742 3.742 19.183
angles: 90.00 90.00 90.00
Space group P4/mmm (No. 123)
One atom of each set of equivalent atoms:
Pm1 0.000 0.000 0.000 x1
Pr1 0.000 0.000 0.198 x2
Pr2 0.000 0.000 0.399 x2
Ag1 0.500 0.500 0.096 x2
Ag2 0.500 0.500 0.299 x2
Ag3 0.500 0.500 0.500 x1

The size of the total moment comes out at 0.0 μB/cell. Its formation energy is -0.25 eV per atom. The volume comes out at 26.9 A^3/atom.

2.
DFT (PBE) results for a relaxed Pm4Pr9Ag11 crystal.

abc: 15.613 22.923 3.648
angles: 90.00 90.00 90.00
Space group Cmmm (No. 65)
One atom of each set of equivalent atoms:
Pm1 0.148 0.093 0.000 x8
Pr1 0.000 0.000 0.000 x2
Pr2 0.116 0.245 0.000 x8
Pr3 0.126 0.417 0.000 x8
Ag1 0.000 0.144 0.500 x4
Ag2 0.000 0.335 0.500 x4
Ag3 0.000 0.500 0.500 x2
Ag4 0.240 0.322 0.500 x8
Ag5 0.241 0.000 0.500 x4

The size of the total moment comes out at 0.5 μB/cell. Its formation energy is -0.17 eV per atom. The volume comes out at 27.2 A^3/atom.

3.
DFT (PBE) results for a relaxed PmPrAg crystal.

abc: 5.1564 5.1564 3.7725
angles: 90.00 90.00 120.00
Space group P3m1 (No. 156)
One atom of each set of equivalent atoms:
Pm1 0.0000 0.0000 0.0000 x1
Pr1 0.6667 0.3333 0.4236 x1
Ag1 0.3333 0.6667 0.7311 x1

The size of the total moment comes out at 0.0 μB/cell. Its formation energy is -0.02 eV per atom. The volume comes out at 29.0 A^3/atom. The value obtained for the distance to the lowest polymorph of the same formula is 0.1350 eV/atom.

4.
DFT (PBE) results for a relaxed PmPr2Ag crystal.

abc: 7.139 10.683 6.670
angles: 90.00 90.00 90.00
Space group Pnma (No. 62)
One atom of each set of equivalent atoms:
Pm1 0.013 0.250 0.130 x4
Pr1 0.196 0.044 0.669 x8
Ag1 0.100 0.750 0.420 x4

The size of the total moment comes out at 0.0 μB/cell. Its formation energy is -0.08 eV per atom. The volume comes out at 31.8 A^3/atom. The value obtained for the distance to the lowest polymorph of the same formula is 0.0162 eV/atom.

5.
DFT (PBE) results for a relaxed Pm4Pr3Ag4 crystal.

abc: 5.171 7.683 16.387
angles: 90.00 90.00 90.00
Space group Immm (No. 71)
One atom of each set of equivalent atoms:
Pm1 0.000 0.223 0.175 x8
Pr1 0.000 0.000 0.397 x4
Pr2 0.000 0.500 0.500 x2
Ag1 0.000 0.315 0.000 x4
Ag2 0.000 0.500 0.305 x4

The size of the total moment comes out at 0.0 μB/cell. Its formation energy is -0.10 eV per atom. The volume comes out at 29.6 A^3/atom.

6.
DFT (PBE) results for a relaxed Pm2Pr6Ag crystal.

abc: 17.796 9.724 3.607
angles: 90.00 90.91 90.00
Space group C2/m (No. 12)
One atom of each set of equivalent atoms:
Pm1 0.175 0.000 0.486 x4
Pr1 0.000 0.214 0.500 x4
Pr2 0.164 0.329 0.000 x8
Ag1 0.000 0.500 0.000 x2

The size of the total moment comes out at 0.0 μB/cell. Its formation energy is 0.10 eV per atom. The volume comes out at 34.7 A^3/atom.

7.
DFT (PBE) results for a relaxed PmPr2Ag2 crystal.

abc: 3.770 5.440 14.028
angles: 90.00 97.67 90.00
Space group P2_1/m (No. 11)
One atom of each set of equivalent atoms:
Pm1 0.145 0.250 0.290 x2
Pr1 0.047 0.750 0.095 x2
Pr2 0.235 0.750 0.468 x2
Ag1 0.358 0.250 0.717 x2
Ag2 0.452 0.750 0.901 x2

The size of the total moment comes out at 0.0 μB/cell. Its formation energy is -0.18 eV per atom. The volume comes out at 28.5 A^3/atom. The value obtained for the distance to the lowest polymorph of the same formula is 0.0000 eV/atom.

8.
DFT (PBE) results for a relaxed PmPrAg2 crystal.

abc: 3.9796 3.9796 25.5797
angles: 90.00 90.00 120.00
Space group R-3m (No. 166, hexagonal axes)
One atom of each set of equivalent atoms:
Pm1 0.0000 0.0000 0.0000 x3
Pr1 0.0000 0.0000 0.5000 x3
Ag1 0.0000 0.0000 0.2515 x6

The size of the total moment comes out at 0.0 μB/cell. Its formation energy is -0.03 eV per atom. The volume comes out at 29.2 A^3/atom. The value obtained for the distance to the lowest polymorph of the same formula is 0.2327 eV/atom.

9.
DFT (PBE) results for a relaxed PmPr2Ag6 crystal.

abc: 8.3485 8.3485 3.5965
angles: 90.00 90.00 120.00
Space group P6/mmm (No. 191)
One atom of each set of equivalent atoms:
Pm1 0.0000 0.0000 0.0000 x1
Pr1 0.3333 0.6667 0.0000 x2
Ag1 0.0000 0.3324 0.5000 x6

The size of the total moment comes out at 0.0 μB/cell. Its formation energy is -0.26 eV per atom. The volume comes out at 24.1 A^3/atom.

10.
DFT (PBE) results for a relaxed Pm3Pr3Ag2 crystal.

abc: 5.232 11.867 16.157
angles: 90.00 90.00 90.00
Space group Cmcm (No. 63)
One atom of each set of equivalent atoms:
Pm1 0.000 0.080 0.250 x4
Pm2 0.000 0.143 0.530 x8
Pr1 0.000 0.200 0.750 x4
Pr2 0.000 0.457 0.610 x8
Ag1 0.000 0.274 0.127 x8

The size of the total moment comes out at 0.0 μB/cell. Its formation energy is -0.06 eV per atom. The volume comes out at 31.3 A^3/atom.

11.
DFT (PBE) results for a relaxed Pm4Pr3Ag crystal.

abc: 3.693 3.693 19.425
angles: 90.00 90.00 90.00
Space group P4/mmm (No. 123)
One atom of each set of equivalent atoms:
Pm1 0.000 0.000 0.098 x2
Pm2 0.000 0.000 0.366 x2
Pr1 0.500 0.500 0.232 x2
Pr2 0.500 0.500 0.500 x1
Ag1 0.500 0.500 0.000 x1

The size of the total moment comes out at 0.0 μB/cell. Its formation energy is -0.05 eV per atom. The volume comes out at 33.1 A^3/atom.

12.
DFT (PBE) results for a relaxed PmPrAg crystal.

abc: 7.257 5.226 9.406
angles: 90.00 90.00 90.00
Space group Pnma (No. 62)
One atom of each set of equivalent atoms:
Pm1 0.155 0.250 0.081 x4
Pr1 0.010 0.250 0.685 x4
Ag1 0.240 0.250 0.401 x4

The size of the total moment comes out at 0.0 μB/cell. Its formation energy is -0.15 eV per atom. The volume comes out at 29.7 A^3/atom. The value obtained for the distance to the lowest polymorph of the same formula is 0.0000 eV/atom.

13.
DFT (PBE) results for a relaxed PmPr3Ag3 crystal.

abc: 11.149 9.708 7.598
angles: 90.00 90.00 90.00
Space group C2/m (No. 12)
One atom of each set of equivalent atoms:
Pm1 0.219 0.000 0.000 x4
Pr1 0.000 0.294 0.000 x4
Pr2 0.000 0.296 0.500 x4
Pr3 0.215 0.000 0.500 x4
Ag1 0.000 0.000 0.242 x4
Ag2 0.250 0.250 0.246 x8

The size of the total moment comes out at 3.9 μB/cell. Its formation energy is -0.11 eV per atom. The volume comes out at 29.4 A^3/atom. The value obtained for the distance to the lowest polymorph of the same formula is 0.0029 eV/atom.

14.
DFT (PBE) results for a relaxed Pm2PrAg6 crystal.

abc: 8.3313 8.3313 3.5728
angles: 90.00 90.00 120.00
Space group P6/mmm (No. 191)
One atom of each set of equivalent atoms:
Pm1 0.3333 0.6667 0.0000 x2
Pr1 0.0000 0.0000 0.0000 x1
Ag1 0.0000 0.3342 0.5000 x6

The size of the total moment comes out at 0.0 μB/cell. Its formation energy is -0.26 eV per atom. The volume comes out at 23.9 A^3/atom. The value obtained for the distance to the lowest polymorph of the same formula is 0.0000 eV/atom.

15.
DFT (PBE) results for a relaxed PmPr2Ag2 crystal.

abc: 5.927 4.777 11.150
angles: 90.00 97.48 90.00
Space group P2_1/m (No. 11)
One atom of each set of equivalent atoms:
Pm1 0.090 0.250 0.283 x2
Pr1 0.239 0.250 0.951 x2
Pr2 0.395 0.250 0.621 x2
Ag1 0.128 0.750 0.472 x2
Ag2 0.280 0.750 0.140 x2

The size of the total moment comes out at 0.0 μB/cell. Its formation energy is -0.07 eV per atom. The volume comes out at 31.3 A^3/atom. The value obtained for the distance to the lowest polymorph of the same formula is 0.1106 eV/atom.

16.
DFT (PBE) results for a relaxed PmPrAg crystal.

abc: 4.773 4.773 7.994
angles: 90.00 90.00 90.00
Space group P4/nmm (No. 129, origin choice 2)
One atom of each set of equivalent atoms:
Pm1 0.250 0.250 0.132 x2
Pr1 0.250 0.750 0.500 x2
Ag1 0.250 0.250 0.766 x2

The size of the total moment comes out at 0.0 μB/cell. Its formation energy is -0.06 eV per atom. The volume comes out at 30.3 A^3/atom. The value obtained for the distance to the lowest polymorph of the same formula is 0.0927 eV/atom.

17.
DFT (PBE) results for a relaxed PmPr4Ag crystal.

abc: 3.727 3.727 14.296
angles: 90.00 90.00 90.00
Space group P4/mmm (No. 123)
One atom of each set of equivalent atoms:
Pm1 0.000 0.000 0.000 x1
Pr1 0.000 0.000 0.364 x2
Pr2 0.500 0.500 0.179 x2
Ag1 0.500 0.500 0.500 x1

The size of the total moment comes out at 0.0 μB/cell. Its formation energy is -0.06 eV per atom. The volume comes out at 33.1 A^3/atom. The value obtained for the distance to the lowest polymorph of the same formula is 0.0000 eV/atom.

18.
DFT (PBE) results for a relaxed Pm2Pr2Ag3 crystal.

abc: 5.271 5.280 9.011
angles: 73.30 73.17 60.21
Space group P-1 (No. 2)
One atom of each set of equivalent atoms:
Pm1 0.126 0.127 0.119 x2
Pr1 0.378 0.378 0.364 x2
Ag1 0.000 0.000 0.500 x1
Ag2 0.249 0.248 0.754 x2

The size of the total moment comes out at 0.8 μB/cell. Its formation energy is -0.10 eV per atom. The volume comes out at 29.3 A^3/atom.

19.
DFT (PBE) results for a relaxed PmPrAg6 crystal.

abc: 5.642 5.642 5.642
angles: 97.22 97.05 97.04
Space group P-1 (No. 2)
One atom of each set of equivalent atoms:
Pm1 0.000 0.000 0.000 x1
Pr1 0.500 0.500 0.500 x1
Ag1 0.036 0.751 0.463 x2
Ag2 0.249 0.537 0.964 x2
Ag3 0.463 0.037 0.752 x2

The size of the total moment comes out at 0.0 μB/cell. Its formation energy is -0.22 eV per atom. The volume comes out at 21.9 A^3/atom.

20.
DFT (PBE) results for a relaxed PmPr3Ag3 crystal.

abc: 10.289 11.055 7.229
angles: 90.00 90.80 90.00
Space group C2/m (No. 12)
One atom of each set of equivalent atoms:
Pm1 0.246 0.000 0.365 x4
Pr1 0.000 0.230 0.500 x4
Pr2 0.000 0.321 0.000 x4
Pr3 0.140 0.000 0.875 x4
Ag1 0.066 0.500 0.320 x4
Ag2 0.241 0.257 0.233 x8

The size of the total moment comes out at 0.0 μB/cell. Its formation energy is -0.11 eV per atom. The volume comes out at 29.4 A^3/atom. The value obtained for the distance to the lowest polymorph of the same formula is 0.0000 eV/atom.

21.
DFT (PBE) results for a relaxed Pm3PrAg3 crystal.

abc: 10.270 11.023 7.113
angles: 90.00 90.55 90.00
Space group C2/m (No. 12)
One atom of each set of equivalent atoms:
Pm1 0.000 0.182 0.000 x4
Pm2 0.000 0.262 0.500 x4
Pm3 0.129 0.500 0.854 x4
Pr1 0.243 0.500 0.351 x4
Ag1 0.071 0.000 0.314 x4
Ag2 0.242 0.236 0.233 x8

The size of the total moment comes out at 0.0 μB/cell. Its formation energy is -0.12 eV per atom. The volume comes out at 28.8 A^3/atom.

22.
DFT (PBE) results for a relaxed PmPrAgRh crystal.

abc: 7.287 7.287 7.287
angles: 90.00 90.00 90.00
Space group F-43m (No. 216)
One atom of each set of equivalent atoms:
Pm1 0.000 0.000 0.000 x4
Pr1 0.000 0.000 0.500 x4
Ag1 0.250 0.250 0.750 x4
Rh1 0.250 0.250 0.250 x4

The size of the total moment comes out at 0.0 μB/cell. Its formation energy is -0.44 eV per atom. The volume comes out at 24.2 A^3/atom.